A plane-wave DFT calculation with SCAN was carried out for a crystal of Cu3B7IO13 relaxed with PBEsol.

- Magnetization: 3.000 μB/f.u.
- Total energy: -2126.14 eV/cell
- ρ: 4.613 g/cm3
- Uncorrected formation energy: -4864 kJ/mol of formula units
- Calculated volume: 1731.2 Å³/cell

Geometry as CIF:
```
data_Cu3B7IO13
_chemical_formula_sum 'Cu24 B56 I8 O104'
_symmetry_space_group_name_H-M 'F -4 3 c'
_symmetry_Int_Tables_number 219
_symmetry_space_group_name_Hall 'F -4a 2 3'
_cell_length_a 12.007
_cell_length_b 12.007
_cell_length_c 12.007
_cell_angle_alpha 90.00
_cell_angle_beta 90.00
_cell_angle_gamma 90.00
loop_
_atom_site_label
_atom_site_type_symbol
_atom_site_fract_x
_atom_site_fract_y
_atom_site_fract_z
Cu1 Cu 0.000 0.000 0.250
B1 B 0.000 0.250 0.250
B2 B 0.170 0.170 0.170
I1 I 0.000 0.000 0.000
O1 O 0.070 0.152 0.233
O2 O 0.250 0.250 0.250
```